No. 1
The following is a DFT calculation (SCAN) of SrAlGe2W at its PBEsol-relaxed geometry.

The density of states at the Fermi level is 0.6105 states/eV/atom. As for the formation energy: 0.770 eV per atom. The symmetry is No. 123.

a b c (Å): 4.896 4.896 5.570
angles (deg): 90.00 90.00 90.00
Sites, in units of the cell vectors:
W (0.000, 0.000, 0.000)
Sr (0.000, 0.000, 0.500)
Ge (0.500, 0.000, 0.000)
Ge (0.000, 0.500, 0.000)
Al (0.500, 0.500, 0.500)

=====

No. 2
The following is a DFT calculation (SCAN) of TaAlGe at its PBEsol-relaxed geometry.

The density of states at the Fermi level is 0.2967 states/eV/atom. As for the formation energy: -0.301 eV per atom. The symmetry is No. 43.

a b c (Å): 4.935 4.935 5.117
angles (deg): 104.56 104.56 118.61
Sites, in units of the cell vectors:
Ta (0.779, 0.221, 0.500)
Ta (0.029, 0.971, 0.000)
Ge (0.447, 0.553, 0.500)
Ge (0.697, 0.303, 0.000)
Al (0.367, 0.633, 0.000)
Al (0.117, 0.883, 0.500)